Entry 1:
The following is a GGA-PBE calculation of an optimized crystal structure of Rb4MgU3Te8, from the Alexandria database.

- formation energy without anion corrections (meV/atom) = -865

a b c (Å): 9.0924 9.0924 25.6099
angles (deg): 90.00 90.00 120.00
With the nearest neighbours (Å) after each atom.
Space group R-3m (No. 166, hexagonal axes)
Unique sites:
Rb (0.0000, 0.0000, 0.0000) [3 per cell]  6 Te 3.71
Rb (0.0000, 0.5000, 0.0000) [9 per cell]  6 Te 3.66-3.67
Mg (0.0000, 0.0000, 0.5000) [3 per cell]  6 Te 3.08
U (0.0000, 0.5000, 0.5000) [9 per cell]  6 Te 3.13-3.14
Te (0.0000, 0.0000, 0.2339) [6 per cell]  3 U 3.14
Te (0.0049, 0.5024, 0.2322) [18 per cell]  1 Mg 3.08, 2 U 3.13

---

Entry 2:
The following is a GGA-PBE calculation of an optimized crystal structure of Sc3CdC, from the Alexandria database.

- calculated formation energy (eV/atom) = -0.392
- offset from the most stable computed form (meV per atom) = 72

a b c (Å): 3.2948 4.5501 6.4904
angles (deg): 90.00 90.00 90.00
With the nearest neighbours (Å) after each atom.
Space group Pmmm (No. 47)
Unique sites:
Sc (0.0000, 0.0000, 0.0000) [1 per cell]  2 C 2.28
Sc (0.5000, 0.5000, 0.2402) [2 per cell]  2 C 2.27
Cd (0.0000, 0.0000, 0.5000) [1 per cell]  10 Sc 3.25-3.28, 2 Cd 3.29
C (0.0000, 0.5000, 0.0000) [1 per cell]  6 Sc 2.27-2.28